Density functional theory data (PBE) for La3TcCl3 after structural relaxation.

Cell: 4.1895 9.0663 11.8288 Å, 93.38 90.00 90.00°
Last column: nearest neighbours and their distance in Å.
Fractional positions:
1 Cl 0.2500 0.3814 0.3861  5 La 3.03-3.31
2 Cl 0.2500 0.3655 0.8843  3 La 2.90-2.95
3 Cl 0.2500 0.9025 0.8837  4 La 3.03-3.16
4 Cl 0.7500 0.6345 0.1157  3 La 2.90-2.95
5 Cl 0.7500 0.0975 0.1163  4 La 3.03-3.16
6 Cl 0.7500 0.6186 0.6139  5 La 3.03-3.31
7 La 0.7500 0.6526 0.3609  2 Tc 2.89, 2 Cl 2.90-3.03
8 La 0.2500 0.9019 0.6203  3 Tc 2.95-3.21, 1 Cl 3.11
9 La 0.2500 0.3474 0.6391  2 Tc 2.89, 2 Cl 2.90-3.03
10 La 0.2500 0.8621 0.1472  1 Tc 2.38
11 La 0.7500 0.0981 0.3797  3 Tc 2.95-3.21, 1 Cl 3.11
12 La 0.7500 0.1379 0.8528  1 Tc 2.38
13 Tc 0.2500 0.8705 0.3489  1 La 2.38
14 Tc 0.7500 0.1295 0.6511  1 La 2.38

volume: 448.5 Å³/cell
total energy: -5.818 eV per atom
total magnetic moment: 0.0 μB per cell
space-group type: P2_1/m, No. 11
ρ: 4.60 Mg/m³

Density functional theory data (PBE) for La3TcCl after structural relaxation.

Cell: 5.5479 5.5479 5.5479 Å, 90.00 90.00 90.00°
Last column: nearest neighbours and their distance in Å.
Fractional positions:
1 Tc 0.0000 0.0000 0.0000  6 La 2.77
2 La 0.5000 0.0000 0.0000  2 Tc 2.77
3 La 0.0000 0.0000 0.5000  2 Tc 2.77
4 La 0.0000 0.5000 0.0000  2 Tc 2.77
5 Cl 0.5000 0.5000 0.5000  12 La 3.92

volume: 170.8 Å³/cell
total energy: -5.630 eV per atom
total magnetic moment: 2.0 μB per cell
space-group type: Pm-3m, No. 221
energy above the lowest structure with this stoichiometry: 0.298 eV/atom
ρ: 5.35 Mg/m³

Density functional theory data (PBE) for La9Tc2Cl14 after structural relaxation.

Cell: 8.5010 8.5010 11.7872 Å, 90.00 90.00 120.00°
Last column: nearest neighbours and their distance in Å.
Fractional positions:
1 Cl 0.6793 0.0942 0.4010  4 La 2.96-3.09
2 Cl 0.0513 0.6955 0.9110  4 La 3.02-3.25, 1 Cl 3.38
3 Cl 0.3207 0.9058 0.5990  4 La 2.96-3.09
4 Cl 0.3045 0.3558 0.9110  4 La 3.02-3.25, 1 Cl 3.38
5 Cl 0.0000 0.0000 0.2456  4 La 2.90-3.00
6 Cl 0.6442 0.9487 0.9110  4 La 3.02-3.25, 1 Cl 3.38
7 Cl 0.9487 0.3045 0.0890  4 La 3.02-3.25, 1 Cl 3.38
8 Cl 0.4149 0.3207 0.4010  4 La 2.96-3.09
9 Cl 0.5851 0.6793 0.5990  4 La 2.96-3.09
10 Cl 0.0000 0.0000 0.7544  4 La 2.90-3.00
11 Cl 0.0942 0.4149 0.5990  4 La 2.96-3.09
12 Cl 0.9058 0.5851 0.4010  4 La 2.96-3.09
13 Cl 0.6955 0.6442 0.0890  4 La 3.02-3.25, 1 Cl 3.38
14 Cl 0.3558 0.0513 0.0890  4 La 3.02-3.25, 1 Cl 3.38
15 La 0.6667 0.3333 0.9433  1 Tc 2.47
16 La 0.0859 0.3549 0.3508  1 Tc 2.62
17 La 0.3333 0.6667 0.0567  1 Tc 2.47
18 La 0.7310 0.0859 0.6492  1 Tc 2.62
19 La 0.6451 0.7310 0.3508  1 Tc 2.62
20 La 0.9141 0.6451 0.6492  1 Tc 2.62
21 La 0.3549 0.2690 0.6492  1 Tc 2.62
22 La 0.2690 0.9141 0.3508  1 Tc 2.62
23 La 0.0000 0.0000 0.0000  8 Cl 2.90-3.02
24 Tc 0.6667 0.3333 0.7336  4 La 2.47-2.62
25 Tc 0.3333 0.6667 0.2664  4 La 2.47-2.62

volume: 737.7 Å³/cell
total energy: -5.357 eV per atom
total magnetic moment: 0.1 μB per cell
space-group type: P-3, No. 147
ρ: 4.37 Mg/m³

Density functional theory data (PBE) for LaTcCl after structural relaxation.

Cell: 4.4531 4.4531 3.5322 Å, 90.00 90.00 120.00°
Last column: nearest neighbours and their distance in Å.
Fractional positions:
1 Cl 0.0000 0.0000 0.8335  3 Tc 2.57
2 Tc 0.3333 0.6667 0.8330  3 Cl 2.57
3 La 0.6667 0.3333 0.3336  6 Tc 3.12, 6 Cl 3.12

volume: 60.7 Å³/cell
total energy: -5.859 eV per atom
total magnetic moment: 0.0 μB per cell
space-group type: P-6m2, No. 187
energy above the lowest structure with this stoichiometry: 0.952 eV/atom
ρ: 7.46 Mg/m³

Density functional theory data (PBE) for LaTc2Cl after structural relaxation.

Cell: 6.0482 6.0482 4.4601 Å, 99.07 99.07 34.43°
Last column: nearest neighbours and their distance in Å.
Fractional positions:
1 Tc 0.5281 0.5281 0.4140  2 Tc 2.34
2 Tc 0.9719 0.9719 0.0860  2 Tc 2.34
3 Cl 0.7500 0.7500 0.7500  2 Tc 2.75, 4 La 2.86
4 La 0.2500 0.2500 0.2500  4 Cl 2.86, 2 Tc 3.18

volume: 91.0 Å³/cell
total energy: -6.921 eV per atom
total magnetic moment: 0.0 μB per cell
space-group type: C2/m, No. 12
energy above the lowest structure with this stoichiometry: 0.156 eV/atom
ρ: 6.76 Mg/m³

Density functional theory data (PBE) for La4TcCl after structural relaxation.

Cell: 6.3165 6.3165 6.3165 Å, 60.00 60.00 60.00°
Last column: nearest neighbours and their distance in Å.
Fractional positions:
1 La 0.3767 0.3767 0.8700  6 La 3.12-3.20
2 La 0.8700 0.3767 0.3767  6 La 3.12-3.20
3 La 0.3767 0.8700 0.3767  6 La 3.12-3.20
4 La 0.3767 0.3767 0.3767  6 La 3.12-3.20
5 Tc 0.7500 0.7500 0.7500  12 La 3.70, 4 Cl 3.87
6 Cl 0.0000 0.0000 0.0000  12 La 3.71, 4 Tc 3.87

volume: 178.2 Å³/cell
total energy: -4.716 eV per atom
total magnetic moment: 1.6 μB per cell
space-group type: F-43m, No. 216
ρ: 6.42 Mg/m³

Density functional theory data (PBE) for LaTcCl after structural relaxation.

Cell: 4.5344 4.5344 4.5344 Å, 60.00 60.00 60.00°
Last column: nearest neighbours and their distance in Å.
Fractional positions:
1 Tc 0.7500 0.7500 0.7500  4 La 2.78, 4 Cl 2.78
2 La 0.5000 0.5000 0.5000  4 Tc 2.78
3 Cl 0.0000 0.0000 0.0000  4 Tc 2.78

volume: 65.9 Å³/cell
total energy: -5.515 eV per atom
total magnetic moment: 0.0 μB per cell
space-group type: F-43m, No. 216
energy above the lowest structure with this stoichiometry: 1.296 eV/atom
ρ: 6.86 Mg/m³

Density functional theory data (PBE) for La3TcCl after structural relaxation.

Cell: 3.9747 9.2076 9.2146 Å, 117.65 90.00 90.00°
Last column: nearest neighbours and their distance in Å.
Fractional positions:
1 La 0.2500 0.0328 0.6925  1 Tc 3.30, 2 Cl 3.52, 3 La 3.67-3.68
2 La 0.7500 0.3742 0.6671  1 Tc 2.95, 3 Cl 3.12-3.19
3 La 0.7500 0.9672 0.3075  1 Tc 3.30, 2 Cl 3.52, 3 La 3.67-3.68
4 La 0.2500 0.6258 0.3329  1 Tc 2.95, 3 Cl 3.12-3.19
5 La 0.7500 0.2332 0.0706  2 Tc 3.01, 2 Cl 3.22
6 La 0.2500 0.7668 0.9294  2 Tc 3.01, 2 Cl 3.22
7 Tc 0.7500 0.5802 0.0252  2 Tc 2.39
8 Tc 0.2500 0.4198 0.9748  2 Tc 2.39
9 Cl 0.7500 0.6929 0.6276  5 La 3.12-3.22
10 Cl 0.2500 0.3071 0.3724  5 La 3.12-3.22

volume: 298.7 Å³/cell
total energy: -5.928 eV per atom
total magnetic moment: 0.0 μB per cell
space-group type: P2_1/m, No. 11
energy above the lowest structure with this stoichiometry: 0.000 eV/atom
ρ: 6.12 Mg/m³

Density functional theory data (PBE) for La4TcCl3 after structural relaxation.

Cell: 7.3856 7.4975 8.6050 Å, 90.00 90.00 109.52°
Last column: nearest neighbours and their distance in Å.
Fractional positions:
1 La 0.5041 0.2334 0.8913  2 Tc 2.92-2.94, 3 Cl 3.09-3.18
2 La 0.5295 0.7814 0.6493  1 Tc 2.67, 1 Cl 2.98
3 La 0.4959 0.7666 0.1087  2 Tc 2.92-2.94, 3 Cl 3.09-3.18
4 La 0.9705 0.2186 0.6493  1 Tc 2.67, 1 Cl 2.98
5 La 0.0041 0.2334 0.1087  2 Tc 2.92-2.94, 3 Cl 3.09-3.18
6 La 0.9959 0.7666 0.8913  2 Tc 2.92-2.94, 3 Cl 3.09-3.18
7 La 0.0295 0.7814 0.3507  1 Tc 2.67, 1 Cl 2.98
8 La 0.4705 0.2186 0.3507  1 Tc 2.67, 1 Cl 2.98
9 Cl 0.7500 0.5000 0.6015  6 La 3.09-3.33
10 Cl 0.7500 0.5000 0.1465  6 La 2.98-3.18
11 Cl 0.2500 0.5000 0.3985  6 La 3.09-3.33
12 Cl 0.7500 0.0000 0.3729  6 La 3.04-3.09
13 Cl 0.2500 0.5000 0.8535  6 La 2.98-3.18
14 Cl 0.2500 0.0000 0.6271  6 La 3.04-3.09
15 Tc 0.7500 0.0000 0.8685  6 La 2.67-2.94
16 Tc 0.2500 0.0000 0.1315  6 La 2.67-2.94

volume: 449.1 Å³/cell
total energy: -5.622 eV per atom
total magnetic moment: 0.0 μB per cell
space-group type: P2/c, No. 13
ρ: 5.62 Mg/m³

Density functional theory data (PBE) for LaTcCl after structural relaxation.

Cell: 6.4177 6.0318 3.6185 Å, 79.05 67.33 33.61°
Last column: nearest neighbours and their distance in Å.
Fractional positions:
1 Tc 0.6830 0.6830 0.3170  2 La 2.46
2 Cl 0.0128 0.0128 0.9872  2 Tc 2.81, 2 La 3.12
3 La 0.3041 0.3041 0.6959  2 Tc 2.46

volume: 69.2 Å³/cell
total energy: -5.701 eV per atom
total magnetic moment: 0.0 μB per cell
space-group type: Fmm2, No. 42
energy above the lowest structure with this stoichiometry: 1.109 eV/atom
ρ: 6.54 Mg/m³

Density functional theory data (PBE) for LaTc2Cl after structural relaxation.

Cell: 4.7224 4.7224 4.7224 Å, 60.00 60.00 60.00°
Last column: nearest neighbours and their distance in Å.
Fractional positions:
1 Tc 0.2500 0.2500 0.2500  4 Cl 2.89, 4 La 2.89
2 Tc 0.7500 0.7500 0.7500  4 Cl 2.89, 4 La 2.89
3 La 0.5000 0.5000 0.5000  8 Tc 2.89
4 Cl 0.0000 0.0000 0.0000  8 Tc 2.89

volume: 74.5 Å³/cell
total energy: -5.941 eV per atom
total magnetic moment: 2.3 μB per cell
space-group type: Fm-3m, No. 225
energy above the lowest structure with this stoichiometry: 1.136 eV/atom
ρ: 8.26 Mg/m³

Density functional theory data (PBE) for LaTcTeCl2 after structural relaxation.

Cell: 4.7803 5.4833 4.7803 Å, 90.00 90.00 90.00°
Last column: nearest neighbours and their distance in Å.
Fractional positions:
1 Tc 0.0000 0.0000 0.0000  4 Cl 2.39
2 Cl 0.0000 0.0000 0.5000  2 Tc 2.39
3 Cl 0.5000 0.0000 0.0000  2 Tc 2.39
4 La 0.5000 0.5000 0.5000  4 Te 3.38, 8 Cl 3.64
5 Te 0.0000 0.5000 0.0000  2 Tc 2.74

volume: 125.3 Å³/cell
total energy: -5.008 eV per atom
total magnetic moment: 1.2 μB per cell
space-group type: P4/mmm, No. 123
ρ: 5.77 Mg/m³

> What is the volume in the twelfth record?

125.3 Å³/cell

> The highest total energy belongs to which entry?

La4TcCl